{"formula": "Ni3Pb", "functional": "PBE", "state": "optimized geometry", "cell": [[3.729, 0.000, 0.000], [-1.864, 3.229, 0.000], [0.000, 0.000, 5.446]], "species": ["Ni", "Ni", "Ni", "Pb"], "fractional_positions": [[0.000, 0.000, 0.000], [0.333, 0.667, 0.215], [0.333, 0.667, 0.785], [0.000, 0.000, 0.500]], "magnetic_moment_mub_per_fu": 0.00, "spacegroup": "No. 187", "delta_e_f_ev_per_atom": 0.40}